[1]
{
  "formula": "Co2TeBr",
  "functional": "GGA-PBE",
  "state": "optimized geometry",
  "relative_energy_kj_per_mol_atoms": 57.90,
  "e_form_raw_kcal_per_mol_atoms": 13.9,
  "total_energy_ev_per_atom": -4.152,
  "dos_ef_per_ev_cell": 16.93,
  "sg": "C2/m, No. 12",
  "magmom_total_mub_per_atom": 0.845,
  "lattice_angstrom": [[7.2236, 0.0000, 0.0000], [0.0000, 7.2017, 0.0000], [-0.1307, 0.0000, 3.2774]],
  "species": ["Co", "Co", "Co", "Co", "Te", "Te", "Br", "Br"],
  "frac_coords": [[0.2500, 0.2500, 0.0000], [0.2500, 0.7500, 0.0000], [0.7500, 0.2500, 0.0000], [0.7500, 0.7500, 0.0000], [0.0000, 0.0000, 0.0000], [0.5000, 0.5000, 0.0000], [0.0000, 0.5000, 0.0000], [0.5000, 0.0000, 0.0000]]
}



[2]
{
  "formula": "CoTeBr2",
  "functional": "GGA-PBE",
  "state": "optimized geometry",
  "e_form_raw_kcal_per_mol_atoms": 7.6,
  "total_energy_ev_per_atom": -3.069,
  "dos_ef_per_ev_cell": 16.69,
  "sg": "I-42d, No. 122",
  "magmom_total_mub_per_atom": 0.190,
  "lattice_angstrom": [[7.2301, 0.0000, 0.0000], [0.0000, 7.2301, 0.0000], [0.0000, 0.0000, 9.7029]],
  "species": ["Co", "Co", "Co", "Co", "Te", "Te", "Te", "Te", "Br", "Br", "Br", "Br", "Br", "Br", "Br", "Br"],
  "frac_coords": [[0.0000, 0.0000, 0.0000], [0.0000, 0.5000, 0.2500], [0.5000, 0.0000, 0.7500], [0.5000, 0.5000, 0.5000], [0.0000, 0.0000, 0.5000], [0.0000, 0.5000, 0.7500], [0.5000, 0.0000, 0.2500], [0.5000, 0.5000, 0.0000], [0.1395, 0.7500, 0.1250], [0.2500, 0.1395, 0.8750], [0.2500, 0.3605, 0.3750], [0.3605, 0.7500, 0.6250], [0.6395, 0.2500, 0.6250], [0.7500, 0.6395, 0.3750], [0.7500, 0.8605, 0.8750], [0.8605, 0.2500, 0.1250]]
}



[3]
{
  "formula": "CoTe2Br",
  "functional": "GGA-PBE",
  "state": "optimized geometry",
  "relative_energy_kj_per_mol_atoms": 3.46,
  "e_form_raw_kcal_per_mol_atoms": -3.6,
  "total_energy_ev_per_atom": -3.922,
  "dos_ef_per_ev_cell": 4.51,
  "sg": "C222_1, No. 20",
  "magmom_total_mub_per_atom": 0.000,
  "lattice_angstrom": [[6.3166, 0.0000, 0.0000], [0.0000, 10.9142, 0.0000], [0.0000, 0.0000, 5.5141]],
  "species": ["Co", "Co", "Co", "Co", "Te", "Te", "Te", "Te", "Te", "Te", "Te", "Te", "Br", "Br", "Br", "Br"],
  "frac_coords": [[0.0000, 0.1738, 0.2500], [0.0000, 0.8262, 0.7500], [0.5000, 0.3262, 0.7500], [0.5000, 0.6738, 0.2500], [0.1375, 0.3358, 0.5374], [0.1375, 0.6642, 0.4626], [0.3625, 0.1642, 0.0374], [0.3625, 0.8358, 0.9626], [0.6375, 0.1642, 0.4626], [0.6375, 0.8358, 0.5374], [0.8625, 0.3358, 0.9626], [0.8625, 0.6642, 0.0374], [0.1553, 0.0000, 0.5000], [0.3447, 0.5000, 0.0000], [0.6553, 0.5000, 0.5000], [0.8447, 0.0000, 0.0000]]
}



[4]
{
  "formula": "CoTe2Br",
  "functional": "GGA-PBE",
  "state": "optimized geometry",
  "relative_energy_kj_per_mol_atoms": 33.02,
  "e_form_raw_kcal_per_mol_atoms": 3.5,
  "total_energy_ev_per_atom": -3.616,
  "dos_ef_per_ev_cell": 6.63,
  "sg": "Cmmm, No. 65",
  "magmom_total_mub_per_atom": 0.129,
  "lattice_angstrom": [[4.4763, 0.0000, 0.0000], [0.0000, 5.0506, 0.0000], [0.0000, 0.0000, 8.1173]],
  "species": ["Co", "Co", "Te", "Te", "Te", "Te", "Br", "Br"],
  "frac_coords": [[0.0000, 0.0000, 0.0000], [0.5000, 0.5000, 0.0000], [0.0000, 0.5000, 0.1809], [0.0000, 0.5000, 0.8191], [0.5000, 0.0000, 0.1809], [0.5000, 0.0000, 0.8191], [0.0000, 0.0000, 0.5000], [0.5000, 0.5000, 0.5000]]
}



[5]
{
  "formula": "CoTeBr2",
  "functional": "GGA-PBE",
  "state": "optimized geometry",
  "e_form_raw_kcal_per_mol_atoms": 17.8,
  "total_energy_ev_per_atom": -2.627,
  "dos_ef_per_ev_cell": 5.80,
  "sg": "P4/mmm, No. 123",
  "magmom_total_mub_per_atom": 0.520,
  "lattice_angstrom": [[5.3465, 0.0000, 0.0000], [0.0000, 5.3465, 0.0000], [0.0000, 0.0000, 3.3400]],
  "species": ["Co", "Te", "Br", "Br"],
  "frac_coords": [[0.0000, 0.0000, 0.0000], [0.5000, 0.5000, 0.0000], [0.0000, 0.5000, 0.5000], [0.5000, 0.0000, 0.5000]]
}



[6]
{
  "formula": "CoTe2Br",
  "functional": "GGA-PBE",
  "state": "optimized geometry",
  "relative_energy_kj_per_mol_atoms": 62.93,
  "e_form_raw_kcal_per_mol_atoms": 10.6,
  "total_energy_ev_per_atom": -3.306,
  "dos_ef_per_ev_cell": 16.93,
  "sg": "R-3m, No. 166",
  "magmom_total_mub_per_atom": 0.453,
  "lattice_angstrom": [[3.1920, 0.0000, 0.0000], [-1.5960, 2.7644, 0.0000], [0.0000, 0.0000, 37.0158]],
  "species": ["Co", "Co", "Co", "Te", "Te", "Te", "Te", "Te", "Te", "Br", "Br", "Br"],
  "frac_coords": [[0.0000, 0.0000, 0.0000], [0.3333, 0.6667, 0.6667], [0.6667, 0.3333, 0.3333], [0.0000, 0.0000, 0.0666], [0.0000, 0.0000, 0.9334], [0.3333, 0.6667, 0.6001], [0.3333, 0.6667, 0.7332], [0.6667, 0.3333, 0.2668], [0.6667, 0.3333, 0.3999], [0.0000, 0.0000, 0.5000], [0.3333, 0.6667, 0.1667], [0.6667, 0.3333, 0.8333]]
}



[7]
{
  "formula": "CoTeBr2",
  "functional": "GGA-PBE",
  "state": "optimized geometry",
  "e_form_raw_kcal_per_mol_atoms": 12.3,
  "total_energy_ev_per_atom": -2.863,
  "dos_ef_per_ev_cell": 4.51,
  "sg": "Pmmm, No. 47",
  "magmom_total_mub_per_atom": 0.598,
  "lattice_angstrom": [[3.4666, 0.0000, 0.0000], [0.0000, 4.5907, 0.0000], [0.0000, 0.0000, 6.4817]],
  "species": ["Co", "Te", "Br", "Br"],
  "frac_coords": [[0.0000, 0.0000, 0.0000], [0.5000, 0.0000, 0.5000], [0.0000, 0.5000, 0.5000], [0.5000, 0.5000, 0.0000]]
}



[8]
{
  "formula": "Co2TeBr",
  "functional": "GGA-PBE",
  "state": "optimized geometry",
  "relative_energy_kj_per_mol_atoms": 99.98,
  "e_form_raw_kcal_per_mol_atoms": 24.0,
  "total_energy_ev_per_atom": -3.716,
  "dos_ef_per_ev_cell": 31.03,
  "sg": "F-43m, No. 216",
  "magmom_total_mub_per_atom": 0.932,
  "lattice_angstrom": [[6.6929, 0.0000, 0.0000], [0.0000, 6.6929, 0.0000], [0.0000, 0.0000, 6.6929]],
  "species": ["Co", "Co", "Co", "Co", "Co", "Co", "Co", "Co", "Te", "Te", "Te", "Te", "Br", "Br", "Br", "Br"],
  "frac_coords": [[0.0000, 0.0000, 0.0000], [0.0000, 0.5000, 0.5000], [0.2500, 0.2500, 0.2500], [0.2500, 0.7500, 0.7500], [0.5000, 0.0000, 0.5000], [0.5000, 0.5000, 0.0000], [0.7500, 0.2500, 0.7500], [0.7500, 0.7500, 0.2500], [0.2500, 0.2500, 0.7500], [0.2500, 0.7500, 0.2500], [0.7500, 0.2500, 0.2500], [0.7500, 0.7500, 0.7500], [0.0000, 0.0000, 0.5000], [0.0000, 0.5000, 0.0000], [0.5000, 0.0000, 0.0000], [0.5000, 0.5000, 0.5000]]
}